Record 1
# LiMn2Si, optimized geometry, DFT PBE-GGA
# - DOS at the Fermi energy (states/eV/cell) = 3.1
# - formation energy (no corrections) (eV per atom) = 0.0546
# - size of the total moment (μB/atom) = 0.7976
data_LiMn2Si
_symmetry_space_group_name_H-M 'P 1 2/m 1'
_symmetry_Int_Tables_number 10
_cell_length_a 2.4999
_cell_length_b 4.0210
_cell_length_c 4.6599
_cell_angle_alpha 90.00
_cell_angle_beta 97.11
_cell_angle_gamma 90.00
loop_
_symmetry_equiv_pos_as_xyz
'x,y,z'
'-x,-y,-z'
'-x,y,-z'
'x,-y,z'
loop_
_atom_site_label
_atom_site_fract_x
_atom_site_fract_y
_atom_site_fract_z
_atom_site_occupancy
Li1 0.0000 0.0000 0.0000 1
Mn1 0.2510 0.5000 0.7458 1
Si1 0.5000 0.0000 0.5000 1

Record 2
# Li2MnSi, optimized geometry, DFT PBE-GGA
# - DOS at the Fermi energy (states/eV/cell) = 5.2
# - formation energy (no corrections) (eV per atom) = 0.1007
# - size of the total moment (μB/atom) = 0.7218
data_Li2MnSi
_symmetry_space_group_name_H-M 'C m m m'
_symmetry_Int_Tables_number 65
_symmetry_space_group_name_Hall '-C 2 2'
_cell_length_a 4.8960
_cell_length_b 8.6211
_cell_length_c 2.6463
_cell_angle_alpha 90.00
_cell_angle_beta 90.00
_cell_angle_gamma 90.00
loop_
_atom_site_label
_atom_site_fract_x
_atom_site_fract_y
_atom_site_fract_z
_atom_site_occupancy
Li1 0.2500 0.2500 0.0000 1
Mn1 0.0000 0.0000 0.5000 1
Si1 0.0000 0.5000 0.5000 1

Record 3
# LiMn2Si, optimized geometry, DFT PBE-GGA
# - DOS at the Fermi energy (states/eV/cell) = 7.3
# - formation energy (no corrections) (eV per atom) = 0.0122
# - size of the total moment (μB/atom) = 0.2294
data_LiMn2Si
_symmetry_space_group_name_H-M 'I m m m'
_symmetry_Int_Tables_number 71
_symmetry_space_group_name_Hall '-I 2 2'
_cell_length_a 2.8516
_cell_length_b 3.9573
_cell_length_c 7.7720
_cell_angle_alpha 90.00
_cell_angle_beta 90.00
_cell_angle_gamma 90.00
loop_
_atom_site_label
_atom_site_fract_x
_atom_site_fract_y
_atom_site_fract_z
_atom_site_occupancy
Li1 0.0000 0.0000 0.0000 1
Mn1 0.0000 0.5000 0.2470 1
Si1 0.0000 0.0000 0.5000 1